No. 1
# LiHO2

A relaxed structure of LiHO2 (PBE, Alexandria via LeMat-Bulk).

## Properties
The volume is 117.4 Å³ per cell. The calculation puts the offset from the most stable computed form at 151.1 meV/atom.

a b c (Å): 3.5285 3.5285 9.4332
angles (deg): 90.00 90.00 90.00
Sites, in units of the cell vectors:
Li  0.0000  0.0000  0.0000
Li  0.0000  0.5000  0.2500
Li  0.5000  0.0000  0.7500
Li  0.5000  0.5000  0.5000
H  0.0000  0.0000  0.5000
H  0.0000  0.5000  0.7500
H  0.5000  0.0000  0.2500
H  0.5000  0.5000  0.0000
O  0.0751  0.2500  0.6250
O  0.2500  0.5751  0.8750
O  0.2500  0.9249  0.3750
O  0.4249  0.2500  0.1250
O  0.5751  0.7500  0.1250
O  0.7500  0.0751  0.3750
O  0.7500  0.4249  0.8750
O  0.9249  0.7500  0.6250

---

No. 2
# Li2HO2

A relaxed structure of Li2HO2 (PBE, Alexandria via LeMat-Bulk).

## Properties
The volume is 78.6 Å³ per cell.

a b c (Å): 2.8540 2.8540 9.6456
angles (deg): 90.00 90.00 90.00
Sites, in units of the cell vectors:
Li  0.0000  0.0000  0.1614
Li  0.0000  0.0000  0.8386
Li  0.5000  0.5000  0.3386
Li  0.5000  0.5000  0.6614
H  0.0000  0.0000  0.5000
H  0.5000  0.5000  0.0000
O  0.0000  0.0000  0.3738
O  0.0000  0.0000  0.6262
O  0.5000  0.5000  0.1262
O  0.5000  0.5000  0.8738

---

Respective D(E_F) values: 1.12, 3.28 states/eV per cell.
Respective E_tot values: -4.22, -4.70 eV/atom.
Respective total magnetization values: 0.00, 2.02 Bohr magnetons per cell.